# 1
Entry from the Alexandria database: a relaxed CoBP2Cl crystal (PBE).

Structure (extended XYZ):
```
5
Lattice="4.1875 0.0000 0.0000 0.0000 4.1875 0.0000 0.0000 0.0000 5.3775" Properties=species:S:1:pos:R:3 pbc="T T T"
B 2.0937 2.0937 2.6888
Co 0.0000 0.0000 0.0000
P 2.0937 0.0000 0.0000
P 0.0000 2.0937 0.0000
Cl 0.0000 0.0000 2.6888
```

## Properties
ΔE to the lowest computed polymorph: 0.169 eV per atom
energy relative to the elements, uncorrected: 1.16 eV per atom


# 2
Entry from the Alexandria database: a relaxed Be2SbOs crystal (PBE).

Structure (extended XYZ):
```
4
Lattice="-3.0698 -2.6766 -1.8945 3.2435 -2.0187 3.4098 -1.2221 0.0278 2.9175" Properties=species:S:1:pos:R:3 pbc="T T T"
Be -2.1459 -1.3244 0.5115
Be 0.0000 0.0000 0.0000
Sb 0.0869 -2.3476 0.7576
Os 1.0107 -0.9954 3.1637
```

## Properties
energy relative to the elements, uncorrected: 0.54 eV per atom


# 3
Entry from the Alexandria database: a relaxed CoTc2W crystal (PBE).

Structure (extended XYZ):
```
4
Lattice="2.6637 0.0034 0.0000 -0.5197 2.6125 0.0000 0.0000 0.0000 8.0935" Properties=species:S:1:pos:R:3 pbc="T T T"
W 1.0720 1.3080 2.0234
Tc 0.0000 0.0000 7.9104
Tc 0.0000 0.0000 4.2299
Co 1.0720 1.3080 6.0701
```

## Properties
ΔE to the lowest computed polymorph: 0.142 eV per atom
energy of formation from the pure elements: 0.1747 eV per atom


What did the first record say?
Entry from the Alexandria database: a relaxed CoBP2Cl crystal (PBE).

Structure (extended XYZ):
```
5
Lattice="4.1875 0.0000 0.0000 0.0000 4.1875 0.0000 0.0000 0.0000 5.3775" Properties=species:S:1:pos:R:3 pbc="T T T"
B 2.0937 2.0937 2.6888
Co 0.0000 0.0000 0.0000
P 2.0937 0.0000 0.0000
P 0.0000 2.0937 0.0000
Cl 0.0000 0.0000 2.6888
```

## Properties
ΔE to the lowest computed polymorph: 0.169 eV per atom
energy relative to the elements, uncorrected: 1.16 eV per atom


Copy entry 1 word for word.
Entry from the Alexandria database: a relaxed CoBP2Cl crystal (PBE).

Structure (extended XYZ):
```
5
Lattice="4.1875 0.0000 0.0000 0.0000 4.1875 0.0000 0.0000 0.0000 5.3775" Properties=species:S:1:pos:R:3 pbc="T T T"
B 2.0937 2.0937 2.6888
Co 0.0000 0.0000 0.0000
P 2.0937 0.0000 0.0000
P 0.0000 2.0937 0.0000
Cl 0.0000 0.0000 2.6888
```

## Properties
ΔE to the lowest computed polymorph: 0.169 eV per atom
energy relative to the elements, uncorrected: 1.16 eV per atom


Number 1 is which compound? CoBP2Cl